Entry 1:
Entry from Alexandria: an optimized crystal structure of Hf2TiP (PBE).

ΔH_f (0 K): -0.706 eV/atom
Calculated total energy: -36.04 eV per formula unit

Lattice parameters (Å, degrees): 3.387 10.513 8.243 90.00 90.00 90.00
Space group Cmcm (No. 63)
Inequivalent atoms, fractional coordinates:
Hf 0.000 0.135 0.046 (multiplicity 8)
Ti 0.000 0.426 0.250 (multiplicity 4)
P 0.000 0.257 0.750 (multiplicity 4)

***

Entry 2:
Entry from Alexandria: an optimized crystal structure of Pr12DyPb3 (PBE).

ΔH_f (0 K): -0.244 eV/atom
Calculated total energy: -76.99 eV per formula unit

Lattice parameters (Å, degrees): 5.048 5.048 20.573 90.00 90.00 90.00
Space group P4/mmm (No. 123)
Inequivalent atoms, fractional coordinates:
Pr 0.000 0.000 0.000 (multiplicity 1)
Pr 0.000 0.000 0.245 (multiplicity 2)
Pr 0.000 0.000 0.500 (multiplicity 1)
Pr 0.000 0.500 0.122 (multiplicity 4)
Pr 0.000 0.500 0.369 (multiplicity 4)
Dy 0.500 0.500 0.500 (multiplicity 1)
Pb 0.500 0.500 0.000 (multiplicity 1)
Pb 0.500 0.500 0.245 (multiplicity 2)

***

- Which formula does entry 2 have?
  Pr12DyPb3